w | First-principles (GGA-PBE) data for a relaxed structure of Ti2Zn2Pt, as listed in Alexandria.

a = 7.528 Å, b = 7.528 Å, c = 7.528 Å
α = 157.34°, β = 151.85°, γ = 36.43°
Fractional coordinates of all 5 atoms:
1 Ti 0.198 0.198 0.000
2 Ti 0.802 0.802 0.000
3 Zn 0.405 0.405 0.000
4 Zn 0.595 0.595 0.000
5 Pt 0.000 0.000 0.000

## Properties
D(E_F): 3.06 states/eV/cell
space-group type: Immm, No. 71

***

x | First-principles (GGA-PBE) data for a relaxed structure of Ti2Zn2Pt, as listed in Alexandria.

a = 6.610 Å, b = 6.610 Å, c = 3.546 Å
α = 90.00°, β = 90.00°, γ = 90.00°
Fractional coordinates of all 10 atoms:
1 Ti 0.171 0.329 0.000
2 Ti 0.329 0.829 0.000
3 Ti 0.671 0.171 0.000
4 Ti 0.829 0.671 0.000
5 Zn 0.130 0.630 0.500
6 Zn 0.370 0.130 0.500
7 Zn 0.630 0.870 0.500
8 Zn 0.870 0.370 0.500
9 Pt 0.000 0.000 0.500
10 Pt 0.500 0.500 0.500

## Properties
D(E_F): 9.29 states/eV/cell
space-group type: P4/mbm, No. 127

***

y | First-principles (GGA-PBE) data for a relaxed structure of Ti2Zn2Pt, as listed in Alexandria.

a = 9.635 Å, b = 9.635 Å, c = 9.635 Å
α = 162.95°, β = 162.95°, γ = 24.20°
Fractional coordinates of all 5 atoms:
1 Ti 0.101 0.101 0.000
2 Ti 0.899 0.899 0.000
3 Zn 0.296 0.296 0.000
4 Zn 0.704 0.704 0.000
5 Pt 0.500 0.500 0.000

## Properties
D(E_F): 3.74 states/eV/cell
space-group type: I4/mmm, No. 139

***

Taking the most stable structure as the zero point, the relative energies in meV/atom are w 100; x 71; y 0.

***

w | First-principles (GGA-PBE) data for a relaxed structure of ZrTiPt3, as listed in Alexandria.

a = 4.669 Å, b = 4.669 Å, c = 4.669 Å
α = 90.00°, β = 90.00°, γ = 90.00°
Fractional coordinates of all 5 atoms:
1 Zr 0.000 0.000 0.000
2 Ti 0.500 0.500 0.500
3 Pt 0.000 0.500 0.500
4 Pt 0.500 0.000 0.500
5 Pt 0.500 0.500 0.000

## Properties
D(E_F): 4.82 states/eV/cell
space-group type: Pm-3m, No. 221

***

x | First-principles (GGA-PBE) data for a relaxed structure of ZrTiPt3, as listed in Alexandria.

a = 5.707 Å, b = 5.010 Å, c = 6.660 Å
α = 90.00°, β = 110.37°, γ = 90.00°
Fractional coordinates of all 10 atoms:
1 Zr 0.175 0.250 0.199
2 Zr 0.825 0.750 0.801
3 Ti 0.240 0.750 0.624
4 Ti 0.760 0.250 0.376
5 Pt 0.067 0.250 0.750
6 Pt 0.492 0.750 0.376
7 Pt 0.500 0.000 0.000
8 Pt 0.500 0.500 0.000
9 Pt 0.508 0.250 0.624
10 Pt 0.933 0.750 0.250

## Properties
D(E_F): 7.86 states/eV/cell
space-group type: P2_1/m, No. 11

***

Taking the most stable structure as the zero point, the relative energies in meV/atom are w 811; x 0.

***

w | First-principles (GGA-PBE) data for a relaxed structure of ZrTi3Pt, as listed in Alexandria.

a = 4.795 Å, b = 4.795 Å, c = 4.795 Å
α = 90.00°, β = 90.00°, γ = 90.00°
Fractional coordinates of all 5 atoms:
1 Zr 0.000 0.000 0.000
2 Ti 0.000 0.500 0.500
3 Ti 0.500 0.000 0.500
4 Ti 0.500 0.500 0.000
5 Pt 0.500 0.500 0.500

## Properties
D(E_F): 5.23 states/eV/cell
space-group type: Pm-3m, No. 221

***

x | First-principles (GGA-PBE) data for a relaxed structure of ZrTi3Pt, as listed in Alexandria.

a = 4.668 Å, b = 4.668 Å, c = 4.668 Å
α = 90.00°, β = 90.00°, γ = 90.00°
Fractional coordinates of all 5 atoms:
1 Zr 0.000 0.000 0.000
2 Ti 0.000 0.000 0.500
3 Ti 0.000 0.500 0.000
4 Ti 0.500 0.000 0.000
5 Pt 0.500 0.500 0.500

## Properties
D(E_F): 7.85 states/eV/cell
space-group type: Pm-3m, No. 221

***

Taking the most stable structure as the zero point, the relative energies in meV/atom are w 0; x 806.

***

w | First-principles (GGA-PBE) data for a relaxed structure of Zr2TiPt2, as listed in Alexandria.

a = 7.474 Å, b = 7.474 Å, c = 3.468 Å
α = 90.00°, β = 90.00°, γ = 90.00°
Fractional coordinates of all 10 atoms:
1 Zr 0.170 0.330 0.000
2 Zr 0.330 0.830 0.000
3 Zr 0.670 0.170 0.000
4 Zr 0.830 0.670 0.000
5 Ti 0.000 0.000 0.500
6 Ti 0.500 0.500 0.500
7 Pt 0.133 0.633 0.500
8 Pt 0.367 0.133 0.500
9 Pt 0.633 0.867 0.500
10 Pt 0.867 0.367 0.500

## Properties
D(E_F): 10.97 states/eV/cell
space-group type: P4/mbm, No. 127

***

x | First-principles (GGA-PBE) data for a relaxed structure of Zr2TiPt2, as listed in Alexandria.

a = 7.814 Å, b = 7.814 Å, c = 3.203 Å
α = 90.00°, β = 90.00°, γ = 90.00°
Fractional coordinates of all 10 atoms:
1 Zr 0.159 0.341 0.000
2 Zr 0.341 0.841 0.000
3 Zr 0.659 0.159 0.000
4 Zr 0.841 0.659 0.000
5 Ti 0.000 0.000 0.000
6 Ti 0.500 0.500 0.000
7 Pt 0.139 0.639 0.500
8 Pt 0.361 0.139 0.500
9 Pt 0.639 0.861 0.500
10 Pt 0.861 0.361 0.500

## Properties
D(E_F): 6.57 states/eV/cell
space-group type: P4/mbm, No. 127

***

Taking the most stable structure as the zero point, the relative energies in meV/atom are w 0; x 176.

***

w | First-principles (GGA-PBE) data for a relaxed structure of Zr3TiPt, as listed in Alexandria.

a = 4.831 Å, b = 4.831 Å, c = 4.831 Å
α = 90.00°, β = 90.00°, γ = 90.00°
Fractional coordinates of all 5 atoms:
1 Zr 0.000 0.000 0.500
2 Zr 0.000 0.500 0.000
3 Zr 0.500 0.000 0.000
4 Ti 0.000 0.000 0.000
5 Pt 0.500 0.500 0.500

## Properties
D(E_F): 8.13 states/eV/cell
space-group type: Pm-3m, No. 221

***

x | First-principles (GGA-PBE) data for a relaxed structure of Zr3TiPt, as listed in Alexandria.

a = 5.082 Å, b = 5.082 Å, c = 5.082 Å
α = 90.00°, β = 90.00°, γ = 90.00°
Fractional coordinates of all 5 atoms:
1 Zr 0.000 0.000 0.500
2 Zr 0.000 0.500 0.000
3 Zr 0.500 0.000 0.000
4 Ti 0.500 0.500 0.500
5 Pt 0.000 0.000 0.000

## Properties
D(E_F): 6.67 states/eV/cell
space-group type: Pm-3m, No. 221

***

Taking the most stable structure as the zero point, the relative energies in meV/atom are w 260; x 0.

***

w | First-principles (GGA-PBE) data for a relaxed structure of ZrTi2Pt2, as listed in Alexandria.

a = 7.543 Å, b = 7.543 Å, c = 3.090 Å
α = 90.00°, β = 90.00°, γ = 90.00°
Fractional coordinates of all 10 atoms:
1 Zr 0.000 0.000 0.000
2 Zr 0.500 0.500 0.000
3 Ti 0.165 0.335 0.500
4 Ti 0.335 0.835 0.500
5 Ti 0.665 0.165 0.500
6 Ti 0.835 0.665 0.500
7 Pt 0.131 0.631 0.000
8 Pt 0.369 0.131 0.000
9 Pt 0.631 0.869 0.000
10 Pt 0.869 0.369 0.000

## Properties
D(E_F): 4.89 states/eV/cell
space-group type: P4/mbm, No. 127

***

x | First-principles (GGA-PBE) data for a relaxed structure of ZrTi2Pt2, as listed in Alexandria.

a = 6.100 Å, b = 6.100 Å, c = 6.100 Å
α = 139.45°, β = 139.45°, γ = 58.69°
Fractional coordinates of all 5 atoms:
1 Zr 0.000 0.000 0.000
2 Ti 0.250 0.750 0.500
3 Ti 0.750 0.250 0.500
4 Pt 0.380 0.380 0.000
5 Pt 0.620 0.620 0.000

## Properties
D(E_F): 3.96 states/eV/cell
space-group type: I4/mmm, No. 139

***

Taking the most stable structure as the zero point, the relative energies in meV/atom are w 0; x 69.